A plane-wave DFT calculation with PBE-GGA was carried out for a relaxed LiCoOs crystal.

a = 4.6634 Å, b = 4.6628 Å, c = 4.6675 Å
α = 104.37°, β = 104.38°, γ = 120.20°
Closest atoms and distances in Å follow each position.
Positions (direct):
Co (0.5398, 0.3683, 0.8558)  2 Co 2.32, 4 Li 2.46, 4 Os 2.47
Os (0.1390, 0.4676, 0.0543)  1 Os 2.44, 4 Co 2.47
Co (0.0398, 0.8683, 0.8558)  2 Co 2.32, 4 Li 2.46, 4 Os 2.47
Li (0.9432, 0.9650, 0.3558)  4 Co 2.46, 1 Li 2.48
Os (0.4406, 0.7691, 0.6573)  1 Os 2.44, 4 Co 2.47
Li (0.6364, 0.2717, 0.3558)  4 Co 2.46, 1 Li 2.48

E_tot, eV for the cell shown: -39.86
Relative energy among the computed polymorphs, meV/atom: 0
Mass density, g/cm³: 11.18
Energy of formation, eV/f.u.: 0.3
SG: Fmmm